Density functional theory data (PBE with a Hubbard U) for a relaxed structure of NaCoHF6.

Unit cell a=4.7168 b=4.7168 c=10.2367 alpha=90.00 beta=90.00 gamma=120.00
With the nearest neighbours (Å) after each atom.
Positions (direct):
Na 0.0000 0.0000 0.0000  6 F 2.32
Na 0.0000 0.0000 0.5000  6 F 2.32
Co 0.3333 0.6667 0.2500  6 F 1.81
Co 0.6667 0.3333 0.7500  6 F 1.81
H 0.3333 0.6667 0.7500  6 F 1.81
H 0.6667 0.3333 0.2500  6 F 1.81
F 0.0014 0.3686 0.1508  1 Co 1.81, 1 H 1.81
F 0.0014 0.6329 0.3492  1 Co 1.81, 1 H 1.81
F 0.3671 0.3686 0.3492  1 Co 1.81, 1 H 1.81
F 0.3671 0.9986 0.1508  1 Co 1.81, 1 H 1.81
F 0.3686 0.0014 0.6508  1 Co 1.81, 1 H 1.81
F 0.3686 0.3671 0.8492  1 Co 1.81, 1 H 1.81
F 0.6314 0.6329 0.1508  1 Co 1.81, 1 H 1.81
F 0.6314 0.9986 0.3492  1 Co 1.81, 1 H 1.81
F 0.6329 0.0014 0.8492  1 Co 1.81, 1 H 1.81
F 0.6329 0.6314 0.6508  1 Co 1.81, 1 H 1.81
F 0.9986 0.3671 0.6508  1 Co 1.81, 1 H 1.81
F 0.9986 0.6314 0.8492  1 Co 1.81, 1 H 1.81

Electronic total energy in eV per atom: -3.9006
Crystal system: trigonal